{"formula": "NdSm3Ho2Te6", "functional": "PBE", "state": "optimized geometry", "energy_ev_per_cell": -63.1, "lattice_angstrom": [[4.387, 0.000, 0.000], [0.000, 8.890, 0.342], [-2.194, -2.535, 9.284]], "species": ["Nd", "Sm", "Sm", "Sm", "Ho", "Ho", "Te", "Te", "Te", "Te", "Te", "Te"], "fractional_positions": [[0.500, 0.000, 0.000], [0.500, 0.500, 0.000], [0.839, 0.166, 0.678], [0.161, 0.834, 0.322], [0.835, 0.669, 0.671], [0.165, 0.331, 0.329], [0.330, 0.908, 0.659], [0.670, 0.579, 0.340], [0.670, 0.092, 0.341], [0.004, 0.255, 0.008], [0.996, 0.745, 0.992], [0.330, 0.421, 0.660]]}



{"formula": "SrThTeP", "functional": "PBE", "state": "optimized geometry", "energy_ev_per_cell": -23.1, "lattice_angstrom": [[-2.725, -3.236, 0.775], [0.775, 1.237, -4.046], [7.402, -3.276, 0.418]], "species": ["Sr", "Th", "Te", "P"], "fractional_positions": [[0.494, 0.145, 0.655], [0.110, 0.953, 0.078], [0.957, 0.377, 0.349], [0.316, 0.556, 0.887]]}



We obtain ΔE_f (raw) values of -1.345 -1.371 eV/atom for the records listed above, in that order.